[1]
The following is a DFT calculation (PBE) of a relaxed BeAl2Cr crystal.

Cell: 4.2185 4.2185 4.2185 Å, 60.00 60.00 60.00°
With the nearest neighbours (Å) after each atom.
Sites, in units of the cell vectors:
1 Cr 0.7500 0.7500 0.7500  4 Al 2.58, 4 Be 2.58
2 Al 0.0000 0.0000 0.0000  4 Al 2.58, 4 Cr 2.58
3 Al 0.2500 0.2500 0.2500  4 Be 2.58, 4 Al 2.58
4 Be 0.5000 0.5000 0.5000  4 Al 2.58, 4 Cr 2.58

The value obtained for the formation energy is 0.18 eV/atom. The calculated density is 3.6 Mg/m³. Its space group is F-43m (216).

[2]
The following is a DFT calculation (PBE) of a relaxed Be2AlCr crystal.

Cell: 4.4233 4.4233 4.4233 Å, 134.41 134.41 66.45°
With the nearest neighbours (Å) after each atom.
Sites, in units of the cell vectors:
1 Cr 0.2500 0.7500 0.5000  4 Al 2.42, 8 Be 2.52
2 Al 0.7500 0.2500 0.5000  4 Cr 2.42, 8 Be 2.52
3 Be 0.0000 0.0000 0.0000  4 Be 2.42, 4 Al 2.52, 4 Cr 2.52
4 Be 0.5000 0.5000 0.0000  4 Be 2.42, 4 Cr 2.52, 4 Al 2.52

The value obtained for the formation energy is 0.06 eV/atom. The calculated density is 3.7 Mg/m³. Its space group is I4/mmm (139).

Please write out number 1 again, unchanged.
The following is a DFT calculation (PBE) of a relaxed BeAl2Cr crystal.

Cell: 4.2185 4.2185 4.2185 Å, 60.00 60.00 60.00°
With the nearest neighbours (Å) after each atom.
Sites, in units of the cell vectors:
1 Cr 0.7500 0.7500 0.7500  4 Al 2.58, 4 Be 2.58
2 Al 0.0000 0.0000 0.0000  4 Al 2.58, 4 Cr 2.58
3 Al 0.2500 0.2500 0.2500  4 Be 2.58, 4 Al 2.58
4 Be 0.5000 0.5000 0.5000  4 Al 2.58, 4 Cr 2.58

The value obtained for the formation energy is 0.18 eV/atom. The calculated density is 3.6 Mg/m³. Its space group is F-43m (216).